Entry 1:
## BaInGe2Au (PBE-GGA)

Data for a relaxed structure of BaInGe2Au.

a b c (Å): 6.4297 6.4297 6.4297
angles (deg): 135.88 135.88 64.16
Element x y z (fractional)
Ba  0.0000  0.0000  0.0000
In  0.6170  0.6170  0.0000
Ge  0.2554  0.7554  0.5000
Ge  0.7554  0.2554  0.5000
Au  0.3602  0.3602  0.0000

Space group = No. 107

---

Entry 2:
## BaNaGeAu (PBE-GGA)

Data for a relaxed structure of BaNaGeAu.

a b c (Å): 5.2184 5.2184 5.2184
angles (deg): 60.00 60.00 60.00
Element x y z (fractional)
Ba  0.0000  0.0000  0.0000
Na  0.7500  0.7500  0.7500
Ge  0.2500  0.2500  0.2500
Au  0.5000  0.5000  0.5000

Space group = No. 216

---

Entry 3:
## BaNaGeAu (PBE-GGA)

Data for a relaxed structure of BaNaGeAu.

a b c (Å): 5.2408 5.2408 5.2408
angles (deg): 60.00 60.00 60.00
Element x y z (fractional)
Ba  0.0000  0.0000  0.0000
Na  0.2500  0.2500  0.2500
Ge  0.5000  0.5000  0.5000
Au  0.7500  0.7500  0.7500

Space group = No. 216

---

Entry 4:
## BaNaGeAu (PBE-GGA)

Data for a relaxed structure of BaNaGeAu.

a b c (Å): 5.4320 5.4320 5.4320
angles (deg): 60.00 60.00 60.00
Element x y z (fractional)
Ba  0.0000  0.0000  0.0000
Na  0.5000  0.5000  0.5000
Ge  0.7500  0.7500  0.7500
Au  0.2500  0.2500  0.2500

Space group = No. 216

---

Entry 5:
## BaGePbAu2 (PBE-GGA)

Data for a relaxed structure of BaGePbAu2.

a b c (Å): 4.7668 4.7668 11.5530
angles (deg): 90.00 90.00 90.00
Element x y z (fractional)
Ba  0.2500  0.2500  0.2292
Ba  0.7500  0.7500  0.7708
Ge  0.2500  0.2500  0.8885
Ge  0.7500  0.7500  0.1115
Pb  0.2500  0.7500  0.5000
Pb  0.7500  0.2500  0.5000
Au  0.2500  0.2500  0.6658
Au  0.2500  0.7500  0.0000
Au  0.7500  0.2500  0.0000
Au  0.7500  0.7500  0.3342

Space group = No. 129

---

Entry 6:
## BaGe2PdAu (PBE-GGA)

Data for a relaxed structure of BaGe2PdAu.

a b c (Å): 4.6176 4.6176 10.5081
angles (deg): 90.00 90.00 90.00
Element x y z (fractional)
Ba  0.2500  0.2500  0.2463
Ba  0.7500  0.7500  0.7537
Ge  0.2500  0.2500  0.6354
Ge  0.2500  0.7500  0.0000
Ge  0.7500  0.2500  0.0000
Ge  0.7500  0.7500  0.3646
Pd  0.2500  0.2500  0.8832
Pd  0.7500  0.7500  0.1168
Au  0.2500  0.7500  0.5000
Au  0.7500  0.2500  0.5000

Space group = No. 129

---

Entry 7:
## Ba3Ge4Pd2Au2 (PBE-GGA)

Data for a relaxed structure of Ba3Ge4Pd2Au2.

a b c (Å): 13.3737 13.3737 13.3737
angles (deg): 160.17 159.82 28.44
Element x y z (fractional)
Ba  0.0000  0.0000  0.0000
Ba  0.1494  0.6494  0.5000
Ba  0.8506  0.3506  0.5000
Ge  0.2934  0.7934  0.5000
Ge  0.4512  0.4512  0.0000
Ge  0.5488  0.5488  0.0000
Ge  0.7066  0.2066  0.5000
Pd  0.2488  0.2488  0.0000
Pd  0.7512  0.7512  0.0000
Au  0.3992  0.8992  0.5000
Au  0.6008  0.1008  0.5000

Space group = No. 71

---

Entry 8:
## RbBaGeAu (PBE-GGA)

Data for a relaxed structure of RbBaGeAu.

a b c (Å): 5.7570 5.7570 5.7570
angles (deg): 60.00 60.00 60.00
Element x y z (fractional)
Rb  0.0000  0.0000  0.0000
Ba  0.5000  0.5000  0.5000
Ge  0.2500  0.2500  0.2500
Au  0.7500  0.7500  0.7500

Space group = No. 216

---

Entry 9:
## Ba2GeAuS6 (PBE-GGA)

Data for a relaxed structure of Ba2GeAuS6.

a b c (Å): 6.9650 6.9650 6.9650
angles (deg): 60.00 60.00 60.00
Element x y z (fractional)
Ba  0.2500  0.2500  0.2500
Ba  0.7500  0.7500  0.7500
Ge  0.0000  0.0000  0.0000
Au  0.5000  0.5000  0.5000
S  0.2490  0.2490  0.7510
S  0.2490  0.7510  0.2490
S  0.2490  0.7510  0.7510
S  0.7510  0.2490  0.2490
S  0.7510  0.2490  0.7510
S  0.7510  0.7510  0.2490

Space group = No. 225

---

Entry 10:
## BaGeAu2Se2S2 (PBE-GGA)

Data for a relaxed structure of BaGeAu2Se2S2.

a b c (Å): 6.6443 6.6443 6.5881
angles (deg): 119.16 119.16 77.85
Element x y z (fractional)
Ba  0.0000  0.0000  0.0000
Ge  0.5120  0.4880  0.0000
Au  0.3220  0.6780  0.5000
Au  0.6774  0.3226  0.5000
Se  0.1598  0.4839  0.6287
Se  0.5161  0.8402  0.3713
S  0.5119  0.1698  0.0436
S  0.8302  0.4881  0.9564

Space group = No. 5

---

Entry 11:
## BaGeAu2Se2S2 (PBE-GGA)

Data for a relaxed structure of BaGeAu2Se2S2.

a b c (Å): 6.6373 6.6373 6.5793
angles (deg): 119.11 119.11 74.57
Element x y z (fractional)
Ba  0.0000  0.0000  0.0000
Ge  0.5051  0.4949  0.5000
Au  0.3245  0.3197  0.8362
Au  0.6803  0.6755  0.1638
Se  0.1580  0.5031  0.5362
Se  0.4969  0.8420  0.4638
S  0.5034  0.1715  0.1464
S  0.8285  0.4966  0.8536

Space group = No. 5

---

Entry 12:
## BaGeAu2SeS3 (PBE-GGA)

Data for a relaxed structure of BaGeAu2SeS3.

a b c (Å): 6.5071 6.5532 6.6120
angles (deg): 77.76 60.56 61.25
Element x y z (fractional)
Ba  0.0000  0.0000  0.0000
Ge  0.9916  0.4982  0.5096
Au  0.4943  0.3222  0.6783
Au  0.5058  0.6859  0.3253
Se  0.3736  0.4932  0.1600
S  0.0335  0.4975  0.8310
S  0.6414  0.8302  0.5096
S  0.9552  0.1710  0.5093

Space group = No. 1

---

Entry 13:
## BaGeAu2Se3S (PBE-GGA)

Data for a relaxed structure of BaGeAu2Se3S.

a b c (Å): 6.6747 6.7089 6.7187
angles (deg): 77.59 60.27 60.71
Element x y z (fractional)
Ba  0.0000  0.0000  0.0000
Ge  0.0012  0.4951  0.5069
Au  0.4853  0.3260  0.6789
Au  0.5025  0.6765  0.3209
Se  0.3728  0.4901  0.1574
Se  0.6289  0.8394  0.5109
Se  0.9622  0.1568  0.5006
S  0.0331  0.4938  0.8283

Space group = No. 1

---

Entry 14:
## BaGeTe2Au2S2 (PBE-GGA)

Data for a relaxed structure of BaGeTe2Au2S2.

a b c (Å): 6.8339 6.8339 6.8222
angles (deg): 118.49 118.49 77.39
Element x y z (fractional)
Ba  0.0000  0.0000  0.0000
Ge  0.5314  0.4686  0.0000
Te  0.1544  0.4660  0.6214
Te  0.5340  0.8456  0.3786
Au  0.3271  0.6729  0.5000
Au  0.6805  0.3195  0.5000
S  0.5344  0.1685  0.0620
S  0.8315  0.4656  0.9380

Space group = No. 5

---

Entry 15:
## BaSn2GeAu (PBE-GGA)

Data for a relaxed structure of BaSn2GeAu.

a b c (Å): 6.5315 6.5315 6.5315
angles (deg): 135.26 135.26 65.13
Element x y z (fractional)
Ba  0.0000  0.0000  0.0000
Sn  0.2459  0.7459  0.5000
Sn  0.7459  0.2459  0.5000
Ge  0.6065  0.6065  0.0000
Au  0.3702  0.3702  0.0000

Space group = No. 107

---

Entry 16:
## BaSnGe2Au (PBE-GGA)

Data for a relaxed structure of BaSnGe2Au.

a b c (Å): 6.4022 6.4022 6.4022
angles (deg): 135.32 135.32 65.03
Element x y z (fractional)
Ba  0.0000  0.0000  0.0000
Sn  0.6159  0.6159  0.0000
Ge  0.2546  0.7546  0.5000
Ge  0.7546  0.2546  0.5000
Au  0.3574  0.3574  0.0000

Space group = No. 107

---

Entry 17:
## BaSrGe3Au (PBE-GGA)

Data for a relaxed structure of BaSrGe3Au.

a b c (Å): 8.9899 8.8077 6.4818
angles (deg): 70.15 67.15 42.70
Element x y z (fractional)
Ba  0.2500  0.2500  0.2500
Ba  0.7500  0.7500  0.7500
Sr  0.2477  0.7523  0.2477
Sr  0.7523  0.2477  0.7523
Ge  0.1639  0.1639  0.8361
Ge  0.1668  0.6702  0.8332
Ge  0.3298  0.8332  0.6702
Ge  0.6702  0.1668  0.3298
Ge  0.8332  0.3298  0.1668
Ge  0.8361  0.8361  0.1639
Au  0.3346  0.3346  0.6654
Au  0.6654  0.6654  0.3346

Space group = No. 69

---

Entry 18:
## BaSrGe3Au (PBE-GGA)

Data for a relaxed structure of BaSrGe3Au.

a b c (Å): 9.0183 8.8077 6.5422
angles (deg): 70.20 66.76 43.04
Element x y z (fractional)
Ba  0.2477  0.7523  0.2477
Ba  0.7523  0.2477  0.7523
Sr  0.2500  0.2500  0.2500
Sr  0.7500  0.7500  0.7500
Ge  0.1646  0.6679  0.8354
Ge  0.1659  0.1659  0.8341
Ge  0.3321  0.8354  0.6679
Ge  0.6679  0.1646  0.3321
Ge  0.8341  0.8341  0.1659
Ge  0.8354  0.3321  0.1646
Au  0.3318  0.3318  0.6682
Au  0.6682  0.6682  0.3318

Space group = No. 69

---

Entry 19:
## Ba2ZnGe2Au (PBE-GGA)

Data for a relaxed structure of Ba2ZnGe2Au.

a b c (Å): 4.4912 4.4912 9.8420
angles (deg): 90.00 90.00 120.00
Element x y z (fractional)
Ba  0.0000  0.0000  0.2459
Ba  0.0000  0.0000  0.7541
Zn  0.3333  0.6667  0.5000
Ge  0.3333  0.6667  0.0000
Ge  0.6667  0.3333  0.5000
Au  0.6667  0.3333  0.0000

Space group = No. 187

---

Entry 20:
## BaNa2HAu (PBE-GGA)

Data for a relaxed structure of BaNa2HAu.

a b c (Å): 7.3565 7.3565 7.3565
angles (deg): 145.64 145.64 49.38
Element x y z (fractional)
Ba  0.0000  0.0000  0.0000
Na  0.2431  0.7431  0.5000
Na  0.7431  0.2431  0.5000
H  0.5968  0.5968  0.0000
Au  0.3979  0.3979  0.0000

Space group = No. 107

---

Entry 21:
## Ba2NaH6Au (PBE-GGA)

Data for a relaxed structure of Ba2NaH6Au.

a b c (Å): 5.8946 5.8946 5.8946
angles (deg): 60.00 60.00 60.00
Element x y z (fractional)
Ba  0.2500  0.2500  0.2500
Ba  0.7500  0.7500  0.7500
Na  0.0000  0.0000  0.0000
H  0.2638  0.2638  0.7362
H  0.2638  0.7362  0.2638
H  0.2638  0.7362  0.7362
H  0.7362  0.2638  0.2638
H  0.7362  0.2638  0.7362
H  0.7362  0.7362  0.2638
Au  0.5000  0.5000  0.5000

Space group = No. 225

---

Entry 22:
## Ba2NiH6Au (PBE-GGA)

Data for a relaxed structure of Ba2NiH6Au.

a b c (Å): 5.6602 5.6602 5.6602
angles (deg): 60.00 60.00 60.00
Element x y z (fractional)
Ba  0.2500  0.2500  0.2500
Ba  0.7500  0.7500  0.7500
Ni  0.0000  0.0000  0.0000
H  0.2039  0.2039  0.7961
H  0.2039  0.7961  0.2039
H  0.2039  0.7961  0.7961
H  0.7961  0.2039  0.2039
H  0.7961  0.2039  0.7961
H  0.7961  0.7961  0.2039
Au  0.5000  0.5000  0.5000

Space group = No. 225

---

Entry 23:
## Ba2HfAu (PBE-GGA)

Data for a relaxed structure of Ba2HfAu.

a b c (Å): 5.4972 5.4972 5.4972
angles (deg): 60.00 60.00 60.00
Element x y z (fractional)
Ba  0.0000  0.0000  0.0000
Ba  0.2500  0.2500  0.2500
Hf  0.7500  0.7500  0.7500
Au  0.5000  0.5000  0.5000

Space group = No. 216

---

Entry 24:
## Ba2HfAuS6 (PBE-GGA)

Data for a relaxed structure of Ba2HfAuS6.

a b c (Å): 7.0377 7.0377 7.0377
angles (deg): 60.00 60.00 60.00
Element x y z (fractional)
Ba  0.2500  0.2500  0.2500
Ba  0.7500  0.7500  0.7500
Hf  0.0000  0.0000  0.0000
Au  0.5000  0.5000  0.5000
S  0.2501  0.2501  0.7499
S  0.2501  0.7499  0.2501
S  0.2501  0.7499  0.7499
S  0.7499  0.2501  0.2501
S  0.7499  0.2501  0.7499
S  0.7499  0.7499  0.2501

Space group = No. 225

---

Entry 25:
## Ba2Hg2Au15 (PBE-GGA)

Data for a relaxed structure of Ba2Hg2Au15.

a b c (Å): 7.4435 7.4435 7.4435
angles (deg): 83.92 83.92 83.92
Element x y z (fractional)
Ba  0.1558  0.1558  0.1558
Ba  0.8442  0.8442  0.8442
Hg  0.3984  0.3984  0.3984
Hg  0.6016  0.6016  0.6016
Au  0.0000  0.5000  0.5000
Au  0.1529  0.1529  0.6621
Au  0.1529  0.6621  0.1529
Au  0.1909  0.5000  0.8091
Au  0.1909  0.8091  0.5000
Au  0.3379  0.8471  0.8471
Au  0.5000  0.0000  0.5000
Au  0.5000  0.1909  0.8091
Au  0.5000  0.5000  0.0000
Au  0.5000  0.8091  0.1909
Au  0.6621  0.1529  0.1529
Au  0.8091  0.1909  0.5000
Au  0.8091  0.5000  0.1909
Au  0.8471  0.3379  0.8471
Au  0.8471  0.8471  0.3379

Space group = No. 166

---

Which total DFT energy (no corrections) belongs to each record? In order, -3.87 -3.05 -3.05 -3.02 -3.86 -4.50 -4.40 -2.82 -4.35 -4.25 -4.25 -4.34 -4.16 -4.06 -4.06 -4.15 -4.08 -4.09 -3.51 -2.39 -3.13 -3.66 -3.81 -5.29 -3.10 eV/atom.